Crystalline KGaNiF6 at its relaxed geometry, computed with PBE with a Hubbard U.

Cell lengths 5.292, 5.292, 5.716 Å; angles 90.07, 90.07, 119.93 degrees
Sites, in units of the cell vectors:
1 K 0.000 0.000 0.000
2 Ga 0.667 0.333 0.500
3 Ni 0.333 0.667 0.500
4 F 0.383 0.369 0.311
5 F 0.384 0.015 0.689
6 F 0.630 0.014 0.311
7 F 0.631 0.617 0.689
8 F 0.985 0.616 0.311
9 F 0.986 0.370 0.689

Properties
Fermi-level density of states: 0.00 states/eV per atom
ρ: 3369 kg/m3
Crystal system: monoclinic
Electronic total energy: -4.5795 eV per atom
Total moment: 0.21 μB/atom